Below is a relaxed MnCuSbAu crystal, with properties calculated at the PBE level.

**Formation energy without anion corrections**: 0.12 eV per atom
**Density**: 10.50 g/cm3

a b c (Å): 6.5163 6.5163 6.5163
angles (deg): 90.00 90.00 90.00
With the nearest neighbours (Å) after each atom.
Space group F-43m (No. 216)
Symmetry-distinct sites (fractional):
Mn  0.0000  0.0000  0.0000  4 Sb 2.82, 4 Au 2.82
Cu  0.0000  0.0000  0.5000  4 Sb 2.82, 4 Au 2.82
Sb  0.2500  0.2500  0.2500  4 Mn 2.82, 4 Cu 2.82
Au  0.2500  0.2500  0.7500  4 Mn 2.82, 4 Cu 2.82